Below is Ca2CrTeO6 after structural relaxation, with properties calculated at the PBE+U level.

Cell and atoms, written as POSCAR:
```
Ca2CrTeO6
1.0
4.1024 0.0000 0.0000
0.0000 5.6353 0.0000
0.0000 0.0000 5.6353
Ca Cr Te O
2 1 1 6
Direct
0.0592 0.5000 0.0000 Ca
0.0592 0.0000 0.5000 Ca
0.6433 0.5000 0.5000 Cr
0.6365 0.0000 0.0000 Te
0.6860 0.2488 0.2488 O
0.6860 0.2488 0.7512 O
0.1546 0.5000 0.5000 O
0.1498 0.0000 0.0000 O
0.6860 0.7512 0.7512 O
0.6860 0.7512 0.2488 O
```

total moment	3.076	μB/cell
final energy	-6.372	eV/atom
crystal system	tetragonal